{
  "formula": "CrTcMo2",
  "functional": "SCAN",
  "state": "PBEsol geometry",
  "final_energy_ev_per_cell": -122.99,
  "e_above_lowest_polymorph_mev_per_atom": 20,
  "formation_energy_mev_per_atom": 55,
  "cell": [[-3.972, 0.051, 1.635], [-2.729, -3.197, -0.886], [-1.096, -2.800, 3.067]],
  "species": ["Cr", "Mo", "Mo", "Tc"],
  "fractional_positions": [[0.000, 0.000, 0.000], [0.250, 0.250, 0.250], [0.750, 0.750, 0.750], [0.500, 0.500, 0.500]]
}

{
  "formula": "CrTcMo2",
  "functional": "SCAN",
  "state": "PBEsol geometry",
  "final_energy_ev_per_cell": -123.07,
  "e_above_lowest_polymorph_mev_per_atom": 0,
  "formation_energy_mev_per_atom": 35,
  "cell": [[-0.782, -2.921, 0.022], [0.915, -0.223, 2.873], [-5.604, 1.515, 1.902]],
  "species": ["Cr", "Mo", "Mo", "Tc"],
  "fractional_positions": [[0.500, 0.500, 0.500], [0.000, 0.000, 0.736], [0.000, 0.000, 0.264], [0.500, 0.500, 0.000]]
}

{
  "formula": "CrTc2Mo",
  "functional": "SCAN",
  "state": "PBEsol geometry",
  "final_energy_ev_per_cell": -123.21,
  "formation_energy_mev_per_atom": 46,
  "cell": [[2.997, 0.000, 0.000], [0.000, 2.997, 0.000], [0.000, 0.000, 6.095]],
  "species": ["Cr", "Mo", "Tc", "Tc"],
  "fractional_positions": [[0.500, 0.500, 0.000], [0.500, 0.500, 0.500], [0.000, 0.000, 0.768], [0.000, 0.000, 0.232]]
}

{
  "formula": "CrTc2Mo",
  "functional": "SCAN",
  "state": "PBEsol geometry",
  "final_energy_ev_per_cell": -123.01,
  "formation_energy_mev_per_atom": 95,
  "cell": [[2.634, 0.005, 0.000], [-0.901, 2.476, 0.000], [0.000, 0.000, 8.413]],
  "species": ["Cr", "Mo", "Tc", "Tc"],
  "fractional_positions": [[0.500, 0.500, 0.500], [0.500, 0.500, 0.000], [0.000, 0.000, 0.264], [0.000, 0.000, 0.736]]
}

Copy entry 4 word for word.
{
  "formula": "CrTc2Mo",
  "functional": "SCAN",
  "state": "PBEsol geometry",
  "final_energy_ev_per_cell": -123.01,
  "formation_energy_mev_per_atom": 95,
  "cell": [[2.634, 0.005, 0.000], [-0.901, 2.476, 0.000], [0.000, 0.000, 8.413]],
  "species": ["Cr", "Mo", "Tc", "Tc"],
  "fractional_positions": [[0.500, 0.500, 0.500], [0.500, 0.500, 0.000], [0.000, 0.000, 0.264], [0.000, 0.000, 0.736]]
}